[1]
Below is a geometry-optimized Pm2PrNd2Y2 structure, with properties calculated at the GGA-PBE level.

a = 5.157 Å, b = 6.306 Å, c = 8.175 Å
α = 97.33°, β = 90.00°, γ = 114.14°
Positions (direct):
Nd1 0.428 0.857 0.285
Y1 0.286 0.571 0.857
Pr1 0.000 0.000 0.000
Nd2 0.572 0.143 0.715
Y2 0.714 0.429 0.143
Pm1 0.143 0.286 0.430
Pm2 0.857 0.714 0.570

Values from the calculation:
E_form = 13 meV per atom

[2]
Below is a geometry-optimized PmPr3Nd6Y2 structure, with properties calculated at the GGA-PBE level.

a = 6.366 Å, b = 6.366 Å, c = 12.159 Å
α = 95.02°, β = 95.02°, γ = 120.01°
Positions (direct):
Y1 0.333 0.667 0.000
Nd1 0.251 0.251 0.753
Nd2 0.083 0.416 0.247
Nd3 0.416 0.083 0.247
Nd4 0.749 0.749 0.247
Nd5 0.917 0.584 0.753
Pr1 0.500 0.500 0.500
Nd6 0.584 0.917 0.753
Pm1 0.000 0.000 0.000
Pr2 0.167 0.833 0.500
Y2 0.667 0.333 0.000
Pr3 0.833 0.167 0.500

Values from the calculation:
E_form = 13 meV per atom

[3]
Below is a geometry-optimized Pm6PrNd3Y2 structure, with properties calculated at the GGA-PBE level.

a = 6.326 Å, b = 6.326 Å, c = 12.117 Å
α = 95.00°, β = 95.00°, γ = 119.99°
Positions (direct):
Pm1 0.083 0.417 0.248
Nd1 0.833 0.167 0.500
Nd2 0.167 0.833 0.500
Pm2 0.417 0.083 0.248
Nd3 0.500 0.500 0.500
Pm3 0.749 0.749 0.248
Pr1 0.000 0.000 0.000
Pm4 0.251 0.251 0.752
Pm5 0.583 0.917 0.752
Pm6 0.917 0.583 0.752
Y1 0.333 0.667 0.000
Y2 0.667 0.333 0.000

Values from the calculation:
E_form = 13 meV per atom

[4]
Below is a geometry-optimized Pm6PrNd2Y3 structure, with properties calculated at the GGA-PBE level.

a = 6.317 Å, b = 6.317 Å, c = 12.052 Å
α = 95.01°, β = 95.01°, γ = 120.01°
Positions (direct):
Y1 0.833 0.167 0.500
Pm1 0.085 0.418 0.253
Pm2 0.582 0.915 0.747
Pr1 0.000 0.000 0.000
Pm3 0.249 0.249 0.746
Pm4 0.915 0.582 0.747
Pm5 0.751 0.751 0.254
Y2 0.167 0.833 0.500
Y3 0.500 0.500 0.500
Nd1 0.667 0.333 0.000
Pm6 0.418 0.085 0.253
Nd2 0.333 0.667 0.000

Values from the calculation:
E_form = 14 meV per atom